Entry 1:
VASP calculation (PBE) on Ti2InH after structural relaxation.

Cell lengths 4.500, 4.500, 4.500 Å; angles 60.00, 60.00, 60.00 degrees
Element x y z (fractional)
Ti 0.750 0.750 0.750
H 0.000 0.000 0.000
In 0.500 0.500 0.500
Ti 0.250 0.250 0.250

## Properties
N(E_F), states/eV/cell: 4.69
Offset from the most stable computed form, eV/f.u.: 2.431
ρ, g/cm³: 5.451
M_tot, μB per cell: 0.000

=====

Entry 2:
VASP calculation (PBE) on NaTcSb2I after structural relaxation.

Cell lengths 5.087, 5.087, 6.260 Å; angles 90.00, 90.00, 90.00 degrees
Element x y z (fractional)
Na 0.500 0.500 0.500
Tc 0.000 0.000 0.000
Sb 0.000 0.500 0.000
Sb 0.500 0.000 0.000
I 0.000 0.000 0.500

## Properties
N(E_F), states/eV/cell: 2.90
Offset from the most stable computed form, eV/f.u.: 0.000
ρ, g/cm³: 5.038
Formation energy from raw total energies, eV/atom: 0.1167
M_tot, μB per cell: 0.000

=====

Entry 3:
VASP calculation (PBE) on RbTi3Cu after structural relaxation.

Cell lengths 4.883, 4.883, 4.883 Å; angles 90.00, 90.00, 90.00 degrees
Element x y z (fractional)
Ti 0.000 0.000 0.500
Cu 0.000 0.000 0.000
Ti 0.500 0.000 0.000
Rb 0.500 0.500 0.500
Ti 0.000 0.500 0.000

## Properties
Formation energy from the elements, eV/atom: 1.069
N(E_F), states/eV/cell: 5.43
Offset from the most stable computed form, eV/f.u.: 0.000
ρ, g/cm³: 4.174
M_tot, μB per cell: 0.000

=====

Entry 4:
VASP calculation (PBE) on Na2ScO after structural relaxation.

Cell lengths 10.165, 10.165, 7.456 Å; angles 47.03, 47.03, 90.00 degrees
Element x y z (fractional)
Na 0.486 0.125 0.250
Na 0.375 0.514 0.750
Sc 0.000 0.000 0.000
O 0.250 0.750 0.500
Na 0.875 0.736 0.750
O 0.500 0.500 0.000
Na 0.264 0.625 0.250
Sc 0.750 0.250 0.500

## Properties
N(E_F), states/eV/cell: 5.83
ρ, g/cm³: 1.733
Formation energy from raw total energies, eV/atom: -0.9686
M_tot, μB per cell: 0.000

=====

Entry 5:
VASP calculation (PBE) on Pm6Sn3Rh after structural relaxation.

Cell lengths 4.050, 11.462, 14.003 Å; angles 110.93, 90.00, 90.00 degrees
Element x y z (fractional)
Pm 0.250 0.907 0.574
Pm 0.750 0.497 0.659
Sn 0.250 0.635 0.155
Pm 0.750 0.405 0.087
Pm 0.250 0.144 0.869
Rh 0.750 0.072 0.698
Pm 0.750 0.766 0.345
Pm 0.750 0.846 0.774
Pm 0.250 0.234 0.655
Pm 0.250 0.154 0.226
Rh 0.250 0.928 0.302
Sn 0.750 0.665 0.528
Sn 0.750 0.365 0.845
Sn 0.750 0.101 0.037
Sn 0.250 0.899 0.963
Pm 0.750 0.856 0.131
Pm 0.250 0.503 0.341
Pm 0.250 0.595 0.913
Pm 0.750 0.093 0.426
Sn 0.250 0.335 0.472

## Properties
Formation energy from the elements, eV/atom: -0.515
N(E_F), states/eV/cell: 20.88
ρ, g/cm³: 7.269
M_tot, μB per cell: 0.008

=====

Entry 6:
VASP calculation (PBE) on CaMgSn3 after structural relaxation.

Cell lengths 5.778, 5.778, 5.778 Å; angles 90.00, 90.00, 90.00 degrees
Element x y z (fractional)
Ca 0.000 0.000 0.000
Sn 0.000 0.500 0.000
Sn 0.000 0.000 0.500
Sn 0.500 0.000 0.000
Mg 0.500 0.500 0.500

## Properties
Formation energy from the elements, eV/atom: 0.632
N(E_F), states/eV/cell: 4.79
ρ, g/cm³: 3.620
M_tot, μB per cell: 0.000

=====

Entry 7:
VASP calculation (PBE) on CsLaSnS3 after structural relaxation.

Cell lengths 4.233, 8.936, 11.828 Å; angles 107.66, 90.00, 90.00 degrees
Element x y z (fractional)
S 0.250 0.663 0.397
S 0.750 0.337 0.603
S 0.250 0.578 0.895
Sn 0.750 0.855 0.429
La 0.250 0.649 0.146
La 0.750 0.351 0.854
S 0.750 0.422 0.105
S 0.750 0.888 0.223
Cs 0.250 0.240 0.269
S 0.250 0.112 0.777
Sn 0.250 0.145 0.571
Cs 0.750 0.760 0.731

## Properties
ρ, g/cm³: 3.792
Formation energy from raw total energies, eV/atom: -1.4103
M_tot, μB per cell: 0.000

=====

Entry 8:
VASP calculation (PBE) on SrCuMo2 after structural relaxation.

Cell lengths 5.780, 5.780, 2.680 Å; angles 90.00, 90.00, 123.12 degrees
Element x y z (fractional)
Sr 0.500 0.000 0.500
Cu 0.000 0.500 0.500
Mo 0.500 0.500 0.000
Mo 0.000 0.000 0.000

## Properties
Formation energy from the elements, eV/atom: 1.008
N(E_F), states/eV/cell: 3.09
Offset from the most stable computed form, eV/f.u.: 2.182
ρ, g/cm³: 7.596
M_tot, μB per cell: 0.000

=====

Entry 9:
VASP calculation (PBE) on TiMnFeCu after structural relaxation.

Cell lengths 4.189, 4.189, 4.189 Å; angles 60.00, 60.00, 60.00 degrees
Last column: magnetic moment on the atom in μB.
Element x y z (fractional)
Cu 0.000 0.000 0.000  0.03
Mn 0.750 0.750 0.750  2.99
Ti 0.250 0.250 0.250  -0.56
Fe 0.500 0.500 0.500  1.46

## Properties
Formation energy from the elements, eV/atom: -0.006
N(E_F), states/eV/cell: 3.09
ρ, g/cm³: 7.100
M_tot, μB per cell: 3.845

=====

Entry 10:
VASP calculation (PBE) on Ba2MnTlN after structural relaxation.

Cell lengths 6.091, 6.091, 3.775 Å; angles 90.00, 90.00, 90.00 degrees
Last column: magnetic moment on the atom in μB.
Element x y z (fractional)
Ba 0.000 0.500 0.000  -0.01
Tl 0.500 0.500 0.500  0.01
Ba 0.500 0.000 0.000  -0.01
Mn 0.000 0.000 0.500  3.21
N 0.000 0.000 0.000  -0.13

## Properties
N(E_F), states/eV/cell: 3.68
ρ, g/cm³: 6.498
Formation energy from raw total energies, eV/atom: -0.2972
M_tot, μB per cell: 3.287

=====

Entry 11:
VASP calculation (PBE) on AcNb2B after structural relaxation.

Cell lengths 3.368, 3.368, 8.937 Å; angles 79.14, 79.14, 60.00 degrees
Element x y z (fractional)
Ac 0.000 0.000 0.000
B 0.500 0.500 0.500
Nb 0.123 0.123 0.632
Nb 0.877 0.877 0.368

## Properties
Formation energy from the elements, eV/atom: 0.203
N(E_F), states/eV/cell: 3.36
ρ, g/cm³: 8.208
M_tot, μB per cell: 0.000

=====

Entry 12:
VASP calculation (PBE) on RbTaCd after structural relaxation.

Cell lengths 16.363, 4.653, 4.653 Å; angles 120.01, 124.53, 55.47 degrees
Element x y z (fractional)
Ta 0.001 0.665 0.335
Rb 0.318 0.910 0.090
Ta 0.999 0.335 0.665
Cd 0.119 0.842 0.158
Rb 0.682 0.090 0.910
Cd 0.881 0.158 0.842

## Properties
Formation energy from the elements, eV/atom: 0.512
N(E_F), states/eV/cell: 4.87
Offset from the most stable computed form, eV/f.u.: 0.364
ρ, g/cm³: 5.423
M_tot, μB per cell: 0.002

=====

Entry 13:
VASP calculation (PBE) on NbInSF2 after structural relaxation.

Cell lengths 4.137, 5.584, 4.137 Å; angles 90.00, 90.00, 90.00 degrees
Last column: magnetic moment on the atom in μB.
Element x y z (fractional)
F 0.000 0.000 0.500  0.03
F 0.500 0.000 0.000  0.02
In 0.000 0.000 0.000  -0.01
S 0.000 0.500 0.000  -0.04
Nb 0.500 0.500 0.500  2.77

## Properties
N(E_F), states/eV/cell: 3.64
ρ, g/cm³: 4.826
Formation energy from raw total energies, eV/atom: -0.7982
M_tot, μB per cell: 3.555

=====

Entry 14:
VASP calculation (PBE) on BeNb2B2 after structural relaxation.

Cell lengths 3.295, 4.656, 7.730 Å; angles 81.62, 77.69, 69.27 degrees
Element x y z (fractional)
Nb 0.294 0.763 0.650
Nb 0.706 0.237 0.350
B 0.606 0.898 0.890
Nb 0.893 0.309 0.905
B 0.031 0.354 0.585
Be 0.434 0.814 0.317
Nb 0.107 0.691 0.095
Be 0.566 0.186 0.683
B 0.394 0.102 0.110
B 0.969 0.646 0.415

## Properties
Formation energy from the elements, eV/atom: -0.655
N(E_F), states/eV/cell: 1.38
Offset from the most stable computed form, eV/f.u.: 0.000
ρ, g/cm³: 6.653
M_tot, μB per cell: 0.000

=====

Entry 15:
VASP calculation (PBE) on MnCr2Ag after structural relaxation.

Cell lengths 2.928, 2.929, 6.752 Å; angles 90.00, 90.00, 90.00 degrees
Last column: magnetic moment on the atom in μB.
Element x y z (fractional)
Mn 0.000 0.000 0.464  3.29
Cr 0.500 0.500 0.244  -1.89
Ag 0.500 0.500 0.749  0.07
Cr 0.000 0.000 0.043  2.53

## Properties
Formation energy from the elements, eV/atom: 0.297
N(E_F), states/eV/cell: 2.98
Offset from the most stable computed form, eV/f.u.: 0.000
ρ, g/cm³: 7.650
M_tot, μB per cell: 4.218

=====

Entry 16:
VASP calculation (PBE) on Nd2AlZn5 after structural relaxation.

Cell lengths 4.480, 8.472, 8.924 Å; angles 90.00, 90.00, 105.33 degrees
Element x y z (fractional)
Zn 0.185 0.371 0.893
Nd 0.000 0.000 0.000
Zn 0.350 0.700 0.520
Zn 0.815 0.629 0.393
Zn 0.403 0.807 0.250
Nd 0.206 0.412 0.250
Zn 0.350 0.700 0.980
Zn 0.650 0.300 0.480
Zn 0.815 0.629 0.107
Zn 0.185 0.371 0.607
Zn 0.650 0.300 0.020
Al 0.558 0.115 0.250
Nd 0.794 0.588 0.750
Zn 0.597 0.193 0.750
Al 0.442 0.885 0.750
Nd 0.000 0.000 0.500

## Properties
Formation energy from the elements, eV/atom: -0.358
N(E_F), states/eV/cell: 10.45
Offset from the most stable computed form, eV/f.u.: 0.000
ρ, g/cm³: 6.533
M_tot, μB per cell: 0.000

=====

Entry 17:
VASP calculation (PBE) on GaSiB2Ir after structural relaxation.

Cell lengths 3.833, 4.977, 3.833 Å; angles 90.00, 90.00, 90.00 degrees
Element x y z (fractional)
Ir 0.500 0.500 0.500
B 0.000 0.000 0.500
Si 0.000 0.000 0.000
Ga 0.000 0.500 0.000
B 0.500 0.000 0.000

## Properties
N(E_F), states/eV/cell: 2.86
ρ, g/cm³: 7.078
Formation energy from raw total energies, eV/atom: 1.4011
M_tot, μB per cell: 0.000

=====

Entry 18:
VASP calculation (PBE) on HfNpGa2 after structural relaxation.

Cell lengths 2.981, 2.981, 10.246 Å; angles 81.63, 81.63, 60.00 degrees
Last column: magnetic moment on the atom in μB.
Element x y z (fractional)
Np 0.500 0.500 0.500  3.10
Ga 0.254 0.254 0.239  -0.03
Hf 0.000 0.000 0.000  0.00
Ga 0.746 0.746 0.761  -0.03

## Properties
Formation energy from the elements, eV/atom: -0.091
N(E_F), states/eV/cell: 3.76
Offset from the most stable computed form, eV/f.u.: 0.533
ρ, g/cm³: 11.851
M_tot, μB per cell: 3.129